A plane-wave DFT calculation with PBE was carried out for crystalline MgCo2HAu at its relaxed geometry.

Cell and atoms, written as CIF:
```
data_MgCo2HAu
_chemical_formula_sum 'Mg1 Co2 H1 Au1'
_cell_length_a 3.7140
_cell_length_b 3.7140
_cell_length_c 4.1666
_cell_angle_alpha 90.00
_cell_angle_beta 90.00
_cell_angle_gamma 90.00
_space_group_name_H-M_alt 'P 4/m m m'
_space_group_IT_number 123
_space_group_name_Hall '-P 4 2'
loop_
_atom_site_label
_atom_site_fract_x
_atom_site_fract_y
_atom_site_fract_z
_atom_site_occupancy
Mg1 0.0000 0.0000 0.0000 1
Co1 0.0000 0.5000 0.5000 1
H1 0.0000 0.0000 0.5000 1
Au1 0.5000 0.5000 0.0000 1
```

***

# PBE Li4Tb3CeTe8, optimized geometry
# Uncorrected formation energy in eV/atom: -1.275
data_Li4Tb3CeTe8
_chemical_formula_sum 'Li12 Tb9 Ce3 Te24'
_cell_length_a 8.7709
_cell_length_b 8.7709
_cell_length_c 21.2100
_cell_angle_alpha 90.00
_cell_angle_beta 90.00
_cell_angle_gamma 120.00
_space_group_name_H-M_alt 'R -3 m'
_space_group_IT_number 166
_space_group_name_Hall '-R 3 2"'
loop_
_atom_site_label
_atom_site_fract_x
_atom_site_fract_y
_atom_site_fract_z
_atom_site_occupancy
Li1 0.0000 0.0000 0.0000 1
Li2 0.0000 0.5000 0.0000 1
Tb1 0.0000 0.5000 0.5000 1
Ce1 0.0000 0.0000 0.5000 1
Te1 0.0000 0.0000 0.2518 1
Te2 0.0060 0.5030 0.7471 1

***

# PBE Nd2CdOsC, optimized geometry
# E_form in eV/atom: -0.27
data_Nd2CdOsC
_chemical_formula_sum 'Nd2 Cd1 Os1 C1'
_cell_length_a 5.2750
_cell_length_b 5.2750
_cell_length_c 3.9387
_cell_angle_alpha 90.00
_cell_angle_beta 90.00
_cell_angle_gamma 90.00
_space_group_name_H-M_alt 'P 4/m m m'
_space_group_IT_number 123
_space_group_name_Hall '-P 4 2'
loop_
_atom_site_label
_atom_site_fract_x
_atom_site_fract_y
_atom_site_fract_z
_atom_site_occupancy
Nd1 0.0000 0.5000 0.0000 1
Cd1 0.0000 0.0000 0.5000 1
Os1 0.5000 0.5000 0.5000 1
C1 0.5000 0.5000 0.0000 1

***

# PBE In2GaPtBr, optimized geometry
# Uncorrected formation energy in eV/atom: -0.546
data_In2GaPtBr
_chemical_formula_sum 'In2 Ga1 Pt1 Br1'
_cell_length_a 5.2701
_cell_length_b 5.2701
_cell_length_c 4.8479
_cell_angle_alpha 90.00
_cell_angle_beta 90.00
_cell_angle_gamma 90.00
_space_group_name_H-M_alt 'P 4/m m m'
_space_group_IT_number 123
_space_group_name_Hall '-P 4 2'
loop_
_atom_site_label
_atom_site_fract_x
_atom_site_fract_y
_atom_site_fract_z
_atom_site_occupancy
In1 0.0000 0.5000 0.0000 1
Ga1 0.0000 0.0000 0.5000 1
Pt1 0.0000 0.0000 0.0000 1
Br1 0.5000 0.5000 0.5000 1

***

# PBE Sc8Zn2Ni, optimized geometry
# E_form in eV/atom: -0.14
# E above lowest polymorph in eV per atom: 0.0562
data_Sc8Zn2Ni
_chemical_formula_sum 'Sc16 Zn4 Ni2'
_cell_length_a 6.8993
_cell_length_b 14.7071
_cell_length_c 5.6325
_cell_angle_alpha 90.00
_cell_angle_beta 123.07
_cell_angle_gamma 90.00
_space_group_name_H-M_alt 'C 1 m 1'
_space_group_IT_number 8
loop_
_space_group_symop_operation_xyz
'x,y,z'
'x,-y,z'
'x+1/2,y+1/2,z'
'x+1/2,-y+1/2,z'
loop_
_atom_site_label
_atom_site_fract_x
_atom_site_fract_y
_atom_site_fract_z
_atom_site_occupancy
Sc1 0.0000 0.0000 0.0000 1
Sc2 0.0126 0.1127 0.5279 1
Sc3 0.0550 0.3846 0.8851 1
Sc4 0.0558 0.5000 0.3595 1
Sc5 0.2832 0.1948 0.2204 1
Zn1 0.2882 0.2814 0.7140 1
Ni1 0.2898 0.0000 0.5177 1

***

# PBE Li2ZnSi, optimized geometry
# Uncorrected formation energy in eV/atom: -0.142
data_Li2ZnSi
_chemical_formula_sum 'Li4 Zn2 Si2'
_cell_length_a 5.2512
_cell_length_b 7.9099
_cell_length_c 2.7804
_cell_angle_alpha 90.00
_cell_angle_beta 92.01
_cell_angle_gamma 90.00
_space_group_name_H-M_alt 'C 1 2/m 1'
_space_group_IT_number 12
loop_
_space_group_symop_operation_xyz
'x,y,z'
'-x,-y,-z'
'-x,y,-z'
'x,-y,z'
'x+1/2,y+1/2,z'
'-x+1/2,-y+1/2,-z'
'-x+1/2,y+1/2,-z'
'x+1/2,-y+1/2,z'
loop_
_atom_site_label
_atom_site_fract_x
_atom_site_fract_y
_atom_site_fract_z
_atom_site_occupancy
Li1 0.2500 0.2500 0.0000 1
Zn1 0.0000 0.0000 0.5000 1
Si1 0.0000 0.5000 0.5000 1

***

# PBE Sr3GaTe, optimized geometry
# E above lowest polymorph in eV per atom: 0.0000
# Uncorrected formation energy in eV/atom: -0.485
data_Sr3GaTe
_chemical_formula_sum 'Sr3 Ga1 Te1'
_cell_length_a 5.9843
_cell_length_b 5.9843
_cell_length_c 5.9843
_cell_angle_alpha 90.00
_cell_angle_beta 90.00
_cell_angle_gamma 90.00
_space_group_name_H-M_alt 'P m -3 m'
_space_group_IT_number 221
_space_group_name_Hall '-P 4 2 3'
loop_
_atom_site_label
_atom_site_fract_x
_atom_site_fract_y
_atom_site_fract_z
_atom_site_occupancy
Sr1 0.0000 0.0000 0.5000 1
Ga1 0.0000 0.0000 0.0000 1
Te1 0.5000 0.5000 0.5000 1

***

# PBE Rb2Hg7Bi, optimized geometry
# E_form in eV/atom: -0.19
# E above lowest polymorph in eV per atom: 0.0000
data_Rb2Hg7Bi
_chemical_formula_sum 'Rb2 Hg7 Bi1'
_cell_length_a 5.4040
_cell_length_b 5.4040
_cell_length_c 11.7409
_cell_angle_alpha 90.00
_cell_angle_beta 90.00
_cell_angle_gamma 90.00
_space_group_name_H-M_alt 'P -4 m 2'
_space_group_IT_number 115
loop_
_space_group_symop_operation_xyz
'x,y,z'
'y,-x,-z'
'-x,-y,z'
'-y,x,-z'
'-x,y,z'
'-y,-x,-z'
'x,-y,z'
'y,x,-z'
loop_
_atom_site_label
_atom_site_fract_x
_atom_site_fract_y
_atom_site_fract_z
_atom_site_occupancy
Rb1 0.0000 0.5000 0.2484 1
Hg1 0.0000 0.0000 0.0000 1
Hg2 0.0000 0.5000 0.6288 1
Hg3 0.0000 0.5000 0.8780 1
Hg4 0.5000 0.5000 0.0000 1
Hg5 0.5000 0.5000 0.5000 1
Bi1 0.0000 0.0000 0.5000 1

***

# PBE BaCrTe2, optimized geometry
# Uncorrected formation energy in eV/atom: -0.734
data_BaCrTe2
_chemical_formula_sum 'Ba2 Cr2 Te4'
_cell_length_a 8.8413
_cell_length_b 4.2285
_cell_length_c 7.6824
_cell_angle_alpha 90.00
_cell_angle_beta 101.15
_cell_angle_gamma 90.00
_space_group_name_H-M_alt 'C 1 2/m 1'
_space_group_IT_number 12
loop_
_space_group_symop_operation_xyz
'x,y,z'
'-x,-y,-z'
'-x,y,-z'
'x,-y,z'
'x+1/2,y+1/2,z'
'-x+1/2,-y+1/2,-z'
'-x+1/2,y+1/2,-z'
'x+1/2,-y+1/2,z'
loop_
_atom_site_label
_atom_site_fract_x
_atom_site_fract_y
_atom_site_fract_z
_atom_site_occupancy
Ba1 0.0000 0.0000 0.0000 1
Cr1 0.0000 0.0000 0.5000 1
Te1 0.1439 0.5000 0.7055 1

***

# PBE K2ZrMoI, optimized geometry
# Uncorrected formation energy in eV/atom: 1.434
data_K2ZrMoI
_chemical_formula_sum 'K2 Zr1 Mo1 I1'
_cell_length_a 7.0395
_cell_length_b 7.0395
_cell_length_c 5.5558
_cell_angle_alpha 90.00
_cell_angle_beta 90.00
_cell_angle_gamma 90.00
_space_group_name_H-M_alt 'P 4/m m m'
_space_group_IT_number 123
_space_group_name_Hall '-P 4 2'
loop_
_atom_site_label
_atom_site_fract_x
_atom_site_fract_y
_atom_site_fract_z
_atom_site_occupancy
K1 0.0000 0.5000 0.0000 1
Zr1 0.0000 0.0000 0.0000 1
Mo1 0.5000 0.5000 0.5000 1
I1 0.0000 0.0000 0.5000 1

***

# PBE CaBeAlO2, optimized geometry
# Uncorrected formation energy in eV/atom: -0.451
data_CaBeAlO2
_chemical_formula_sum 'Ca1 Be1 Al1 O2'
_cell_length_a 3.7171
_cell_length_b 3.7171
_cell_length_c 6.3388
_cell_angle_alpha 90.00
_cell_angle_beta 90.00
_cell_angle_gamma 90.00
_space_group_name_H-M_alt 'P 4/m m m'
_space_group_IT_number 123
_space_group_name_Hall '-P 4 2'
loop_
_atom_site_label
_atom_site_fract_x
_atom_site_fract_y
_atom_site_fract_z
_atom_site_occupancy
Ca1 0.0000 0.0000 0.0000 1
Be1 0.5000 0.5000 0.0000 1
Al1 0.0000 0.0000 0.5000 1
O1 0.0000 0.5000 0.5000 1

***

# PBE BaB12Pb, optimized geometry
# E_form in eV/atom: -0.15
data_BaB12Pb
_chemical_formula_sum 'Ba4 B48 Pb4'
_cell_length_a 8.5053
_cell_length_b 8.5053
_cell_length_c 8.5053
_cell_angle_alpha 90.00
_cell_angle_beta 90.00
_cell_angle_gamma 90.00
_space_group_name_H-M_alt 'F m -3 m'
_space_group_IT_number 225
_space_group_name_Hall '-F 4 2 3'
loop_
_atom_site_label
_atom_site_fract_x
_atom_site_fract_y
_atom_site_fract_z
_atom_site_occupancy
Ba1 0.0000 0.0000 0.0000 1
B1 0.1022 0.2500 0.2500 1
Pb1 0.0000 0.0000 0.5000 1

***

# PBE Sc3BiO, optimized geometry
# E above lowest polymorph in eV per atom: 0.0037
# Uncorrected formation energy in eV/atom: -1.323
data_Sc3BiO
_chemical_formula_sum 'Sc12 Bi4 O4'
_cell_length_a 4.7101
_cell_length_b 13.1970
_cell_length_c 6.8202
_cell_angle_alpha 90.00
_cell_angle_beta 90.00
_cell_angle_gamma 90.00
_space_group_name_H-M_alt 'A m a 2'
_space_group_IT_number 40
loop_
_space_group_symop_operation_xyz
'x,y,z'
'-x,-y,z'
'-x+1/2,y,z'
'x+1/2,-y,z'
'x,y+1/2,z+1/2'
'-x,-y+1/2,z+1/2'
'-x+1/2,y+1/2,z+1/2'
'x+1/2,-y+1/2,z+1/2'
loop_
_atom_site_label
_atom_site_fract_x
_atom_site_fract_y
_atom_site_fract_z
_atom_site_occupancy
Sc1 0.2500 0.0775 0.0000 1
Sc2 0.2500 0.3038 0.2732 1
Sc3 0.2500 0.3712 0.7736 1
Bi1 0.2500 0.1236 0.5467 1
O1 0.2500 0.4200 0.4820 1

***

# PBE Sr2YAu2, optimized geometry
# E_form in eV/atom: -0.31
# E above lowest polymorph in eV per atom: 0.3056
data_Sr2YAu2
_chemical_formula_sum 'Sr4 Y2 Au4'
_cell_length_a 9.0009
_cell_length_b 9.0009
_cell_length_c 3.5581
_cell_angle_alpha 90.00
_cell_angle_beta 90.00
_cell_angle_gamma 90.00
_space_group_name_H-M_alt 'P 4/m b m'
_space_group_IT_number 127
_space_group_name_Hall '-P 4 2ab'
loop_
_atom_site_label
_atom_site_fract_x
_atom_site_fract_y
_atom_site_fract_z
_atom_site_occupancy
Sr1 0.1348 0.3652 0.0000 1
Y1 0.0000 0.0000 0.0000 1
Au1 0.1661 0.6661 0.5000 1

***

Listing total DFT energy (no corrections) for the structures above in their given order: -22.55 -219.03 -32.26 -18.95 -121.04 -22.19 -13.64 -9.80 -41.53 -15.96 -21.64 -351.27 -137.80 -35.85 eV/cell.